Record 1
## Ac2ZnInN (PBE)

Data for a geometry-optimized Ac2ZnInN structure.

CIF file:
```
data_Ac2ZnInN
_cell_length_a 7.2913
_cell_length_b 4.2000
_cell_length_c 9.2591
_cell_angle_alpha 90.00
_cell_angle_beta 108.78
_cell_angle_gamma 90.00
_space_group_name_H-M_alt 'P 1 21/m 1'
_space_group_IT_number 11
_space_group_name_Hall '-P 2yb'
loop_
_atom_site_label
_atom_site_type_symbol
_atom_site_fract_x
_atom_site_fract_y
_atom_site_fract_z
Ac1 Ac 0.1960 0.2500 0.3735
Ac2 Ac 0.2038 0.2500 0.9627
Zn1 Zn 0.4492 0.7500 0.2363
In1 In 0.3120 0.7500 0.6980
N1 N 0.1556 0.7500 0.1713
```


Record 2
## NaCoSb2Ru (PBE)

Data for a geometry-optimized NaCoSb2Ru structure.

CIF file:
```
data_NaCoSb2Ru
_cell_length_a 4.9176
_cell_length_b 4.9176
_cell_length_c 4.6167
_cell_angle_alpha 90.00
_cell_angle_beta 90.00
_cell_angle_gamma 90.00
_space_group_name_H-M_alt 'P 4/m m m'
_space_group_IT_number 123
_space_group_name_Hall '-P 4 2'
loop_
_atom_site_label
_atom_site_type_symbol
_atom_site_fract_x
_atom_site_fract_y
_atom_site_fract_z
Na1 Na 0.0000 0.0000 0.0000
Co1 Co 0.5000 0.5000 0.5000
Sb1 Sb 0.0000 0.5000 0.5000
Ru1 Ru 0.5000 0.5000 0.0000
```

ΔE to the lowest computed polymorph: 0.000 eV per atom


For each record above, in turn, the calculated uncorrected formation energy values are -0.581, 0.595 eV per atom.